Compound: LiPbN2
Source: Alexandria
Functional: GGA-PBE
Structure: optimized geometry

Cell lengths 4.866, 4.866, 10.293 Å; angles 90.00, 90.00, 90.00 degrees
Positions (direct):
Li1 0.000 0.000 0.000
Li2 0.000 0.500 0.250
Li3 0.500 0.000 0.750
Li4 0.500 0.500 0.500
Pb1 0.000 0.000 0.500
Pb2 0.000 0.500 0.750
Pb3 0.500 0.000 0.250
Pb4 0.500 0.500 0.000
N1 0.231 0.250 0.125
N2 0.250 0.731 0.375
N3 0.250 0.769 0.875
N4 0.269 0.250 0.625
N5 0.731 0.750 0.625
N6 0.750 0.231 0.875
N7 0.750 0.269 0.375
N8 0.769 0.750 0.125

Calculated values
As for the uncorrected energy: -4.843 eV per atom. The calculation puts the volume at 15.2 A^3/atom. The calculation puts the density at 6.60 g/cm3. The density of states at the Fermi level is 0.509 states/eV/atom.